Entry 1:
Computed, not measured: a relaxed Mg2PdPt crystal at the GGA-PBE level of DFT.

Values from the calculation:
Calculated total energy: -17.64 eV per cell
Excess energy over the best structure of this formula in the dataset: 0.0087 eV per atom
ρ: 9105 kg/m³
Energy of formation from the pure elements: -0.80 eV/atom

Geometry as CIF:
```
data_Mg2PdPt
_chemical_formula_sum 'Mg2 Pd1 Pt1'
_cell_length_a 3.0014
_cell_length_b 3.0014
_cell_length_c 7.0879
_cell_angle_alpha 90.00
_cell_angle_beta 90.00
_cell_angle_gamma 90.00
_space_group_name_H-M_alt 'P 4/m m m'
_space_group_IT_number 123
_space_group_name_Hall '-P 4 2'
loop_
_atom_site_label
_atom_site_fract_x
_atom_site_fract_y
_atom_site_fract_z
_atom_site_occupancy
Mg1 0.0000 0.0000 0.2493 1
Pd1 0.5000 0.5000 0.5000 1
Pt1 0.5000 0.5000 0.0000 1
```

=====

Entry 2:
Computed, not measured: a relaxed Mg2PdPt crystal at the GGA-PBE level of DFT.

Values from the calculation:
Calculated total energy: -17.65 eV per cell
Excess energy over the best structure of this formula in the dataset: 0.0056 eV per atom
ρ: 9098 kg/m³
Energy of formation from the pure elements: -0.81 eV/atom

Geometry as CIF:
```
data_Mg2PdPt
_chemical_formula_sum 'Mg2 Pd1 Pt1'
_cell_length_a 4.2887
_cell_length_b 4.2887
_cell_length_c 3.4741
_cell_angle_alpha 90.00
_cell_angle_beta 90.00
_cell_angle_gamma 90.00
_space_group_name_H-M_alt 'P 4/m m m'
_space_group_IT_number 123
_space_group_name_Hall '-P 4 2'
loop_
_atom_site_label
_atom_site_fract_x
_atom_site_fract_y
_atom_site_fract_z
_atom_site_occupancy
Mg1 0.0000 0.5000 0.0000 1
Pd1 0.0000 0.0000 0.5000 1
Pt1 0.5000 0.5000 0.5000 1
```

=====

Entry 3:
Computed, not measured: a relaxed Mg2PdPt6 crystal at the GGA-PBE level of DFT.

Values from the calculation:
Calculated total energy: -98.18 eV per cell
ρ: 15612 kg/m³
Energy of formation from the pure elements: -0.50 eV/atom

Geometry as CIF:
```
data_Mg2PdPt6
_chemical_formula_sum 'Mg4 Pd2 Pt12'
_cell_length_a 8.4320
_cell_length_b 8.4320
_cell_length_c 3.9661
_cell_angle_alpha 90.00
_cell_angle_beta 90.00
_cell_angle_gamma 90.00
_space_group_name_H-M_alt 'P 42/m n m'
_space_group_IT_number 136
_space_group_name_Hall '-P 4n 2n'
loop_
_atom_site_label
_atom_site_fract_x
_atom_site_fract_y
_atom_site_fract_z
_atom_site_occupancy
Mg1 0.1592 0.1592 0.0000 1
Pd1 0.0000 0.0000 0.5000 1
Pt1 0.0116 0.6663 0.5000 1
Pt2 0.1733 0.8267 0.0000 1
```

=====

Entry 4:
Computed, not measured: a relaxed MgPd3Pt crystal at the GGA-PBE level of DFT.

Values from the calculation:
Calculated total energy: -96.92 eV per cell
Excess energy over the best structure of this formula in the dataset: 0.0659 eV per atom
ρ: 10948 kg/m³
Energy of formation from the pure elements: -0.20 eV/atom

Geometry as CIF:
```
data_MgPd3Pt
_chemical_formula_sum 'Mg4 Pd12 Pt4'
_cell_length_a 6.9797
_cell_length_b 5.8583
_cell_length_c 7.9924
_cell_angle_alpha 90.00
_cell_angle_beta 90.00
_cell_angle_gamma 90.00
_space_group_name_H-M_alt 'P n m a'
_space_group_IT_number 62
_space_group_name_Hall '-P 2ac 2n'
loop_
_atom_site_label
_atom_site_fract_x
_atom_site_fract_y
_atom_site_fract_z
_atom_site_occupancy
Mg1 0.1919 0.2500 0.1415 1
Pd1 0.1252 0.0075 0.8558 1
Pd2 0.2044 0.7500 0.1224 1
Pt1 0.0000 0.0000 0.5000 1
```

=====

Entry 5:
Computed, not measured: a relaxed Mg2Pd7Pt2 crystal at the GGA-PBE level of DFT.

Values from the calculation:
Calculated total energy: -108.45 eV per cell
Excess energy over the best structure of this formula in the dataset: 0.0301 eV per atom
ρ: 10989 kg/m³
Energy of formation from the pure elements: -0.24 eV/atom

Geometry as CIF:
```
data_Mg2Pd7Pt2
_chemical_formula_sum 'Mg4 Pd14 Pt4'
_cell_length_a 9.0711
_cell_length_b 9.1656
_cell_length_c 4.7903
_cell_angle_alpha 90.00
_cell_angle_beta 116.07
_cell_angle_gamma 90.00
_space_group_name_H-M_alt 'C 1 2/m 1'
_space_group_IT_number 12
_space_group_name_Hall '-C 2y'
loop_
_atom_site_label
_atom_site_fract_x
_atom_site_fract_y
_atom_site_fract_z
_atom_site_occupancy
Mg1 0.2305 0.0000 0.0661 1
Pd1 0.0000 0.0000 0.5000 1
Pd2 0.0981 0.5000 0.3134 1
Pd3 0.1691 0.2473 0.6657 1
Pt1 0.0000 0.2264 0.0000 1
```

=====

Entry 6:
Computed, not measured: a relaxed Mg2Pd9Pt crystal at the GGA-PBE level of DFT.

Values from the calculation:
Calculated total energy: -59.94 eV per cell
ρ: 10714 kg/m³
Energy of formation from the pure elements: -0.33 eV/atom

Geometry as CIF:
```
data_Mg2Pd9Pt
_chemical_formula_sum 'Mg2 Pd9 Pt1'
_cell_length_a 3.9441
_cell_length_b 3.9441
_cell_length_c 11.9704
_cell_angle_alpha 90.00
_cell_angle_beta 90.00
_cell_angle_gamma 90.00
_space_group_name_H-M_alt 'P 4/m m m'
_space_group_IT_number 123
_space_group_name_Hall '-P 4 2'
loop_
_atom_site_label
_atom_site_fract_x
_atom_site_fract_y
_atom_site_fract_z
_atom_site_occupancy
Mg1 0.0000 0.0000 0.1657 1
Pd1 0.0000 0.5000 0.0000 1
Pd2 0.0000 0.5000 0.3329 1
Pd3 0.5000 0.5000 0.1663 1
Pd4 0.5000 0.5000 0.5000 1
Pt1 0.0000 0.0000 0.5000 1
```

=====

Entry 7:
Computed, not measured: a relaxed MgPd5Pt2 crystal at the GGA-PBE level of DFT.

Values from the calculation:
Calculated total energy: -83.65 eV per cell
Excess energy over the best structure of this formula in the dataset: 0.0000 eV per atom
ρ: 12682 kg/m³
Energy of formation from the pure elements: -0.27 eV/atom

Geometry as CIF:
```
data_MgPd5Pt2
_chemical_formula_sum 'Mg2 Pd10 Pt4'
_cell_length_a 5.5754
_cell_length_b 11.1819
_cell_length_c 3.9760
_cell_angle_alpha 90.00
_cell_angle_beta 90.00
_cell_angle_gamma 90.00
_space_group_name_H-M_alt 'P b a m'
_space_group_IT_number 55
_space_group_name_Hall '-P 2 2ab'
loop_
_atom_site_label
_atom_site_fract_x
_atom_site_fract_y
_atom_site_fract_z
_atom_site_occupancy
Mg1 0.0000 0.0000 0.0000 1
Pd1 0.0000 0.5000 0.0000 1
Pd2 0.0157 0.2468 0.0000 1
Pd3 0.2388 0.8770 0.5000 1
Pt1 0.2377 0.6268 0.5000 1
```

=====

Entry 8:
Computed, not measured: a relaxed MgPd3Pt6 crystal at the GGA-PBE level of DFT.

Values from the calculation:
Calculated total energy: -111.57 eV per cell
ρ: 16198 kg/m³
Energy of formation from the pure elements: -0.24 eV/atom

Geometry as CIF:
```
data_MgPd3Pt6
_chemical_formula_sum 'Mg2 Pd6 Pt12'
_cell_length_a 8.8465
_cell_length_b 3.9663
_cell_length_c 8.8472
_cell_angle_alpha 90.00
_cell_angle_beta 90.24
_cell_angle_gamma 90.00
_space_group_name_H-M_alt 'P 1 21/m 1'
_space_group_IT_number 11
_space_group_name_Hall '-P 2yb'
loop_
_atom_site_label
_atom_site_fract_x
_atom_site_fract_y
_atom_site_fract_z
_atom_site_occupancy
Mg1 0.1072 0.2500 0.0544 1
Pd1 0.1015 0.7500 0.5502 1
Pd2 0.2987 0.2500 0.6512 1
Pd3 0.4974 0.7500 0.7497 1
Pt1 0.0017 0.2500 0.7555 1
Pt2 0.1945 0.7500 0.8547 1
Pt3 0.1986 0.2500 0.3489 1
Pt4 0.2963 0.7500 0.1503 1
Pt5 0.3991 0.2500 0.9511 1
Pt6 0.4007 0.7500 0.4479 1
```